No. 1
BeCrCu2: relaxed, GGA-PBE. Values from VASP.

Structure (Quantum ESPRESSO input):
```
&SYSTEM
  ibrav = 0, nat = 4, ntyp = 3
/
ATOMIC_SPECIES
Cr 52.00 Cr.upf
Cu 63.55 Cu.upf
Be 9.01 Be.upf
CELL_PARAMETERS angstrom
-2.0406 0.0559 -2.9422
-2.7268 -1.3307 1.8660
-1.1084 3.4411 0.8342
ATOMIC_POSITIONS crystal
Cr 0.0000 0.5000 0.5000
Cu 0.5000 0.5000 0.0000
Cu 0.0000 0.0000 0.0000
Be 0.5000 0.0000 0.5000
```

Values from the calculation:
energy relative to the elements	23	kJ/mol of atoms
M_tot	3.26	μB per cell
uncorrected energy	-20.58	eV/cell

---

No. 2
BeCrCu: relaxed, GGA-PBE. Values from VASP.

Structure (Quantum ESPRESSO input):
```
&SYSTEM
  ibrav = 0, nat = 6, ntyp = 3
/
ATOMIC_SPECIES
Be 9.01 Be.upf
Cr 52.00 Cr.upf
Cu 63.55 Cu.upf
CELL_PARAMETERS angstrom
-1.9344 -1.1127 1.7389
0.7257 -2.5974 -0.8548
5.4957 -0.3937 5.8618
ATOMIC_POSITIONS crystal
Be 0.5000 0.0000 0.7454
Be 0.0000 0.5000 0.2546
Cr 0.0000 0.5000 0.5723
Cr 0.5000 0.0000 0.4277
Cu 0.0000 0.5000 0.8987
Cu 0.5000 0.0000 0.1013
```

Values from the calculation:
distance to the lowest polymorph of the same formula	0.00	eV/f.u.
energy relative to the elements	3	kJ/mol of atoms
M_tot	0.17	μB per cell
uncorrected energy	-34.73	eV/cell

---

No. 3
BeCrCu2: relaxed, GGA-PBE. Values from VASP.

Structure (Quantum ESPRESSO input):
```
&SYSTEM
  ibrav = 0, nat = 4, ntyp = 3
/
ATOMIC_SPECIES
Be 9.01 Be.upf
Cr 52.00 Cr.upf
Cu 63.55 Cu.upf
CELL_PARAMETERS angstrom
2.4853 0.0093 0.0000
-0.0091 2.4854 0.0000
0.0000 0.0000 6.9876
ATOMIC_POSITIONS crystal
Be 0.0000 0.0000 0.4936
Cr 0.5000 0.5000 0.7261
Cu 0.5000 0.5000 0.2769
Cu 0.0000 0.0000 0.0033
```

Values from the calculation:
energy relative to the elements	6	kJ/mol of atoms
M_tot	0.00	μB per cell
uncorrected energy	-21.29	eV/cell

---

No. 4
Be2Cr2Cu: relaxed, GGA-PBE. Values from VASP.

Structure (Quantum ESPRESSO input):
```
&SYSTEM
  ibrav = 0, nat = 10, ntyp = 3
/
ATOMIC_SPECIES
Cr 52.00 Cr.upf
Be 9.01 Be.upf
Cu 63.55 Cu.upf
CELL_PARAMETERS angstrom
5.7010 0.0000 0.0000
0.0000 5.7010 0.0000
0.0000 0.0000 3.1146
ATOMIC_POSITIONS crystal
Cr 0.8262 0.3262 0.5000
Cr 0.6738 0.8262 0.5000
Cr 0.3262 0.1738 0.5000
Cr 0.1738 0.6738 0.5000
Be 0.6236 0.1236 0.0000
Be 0.3764 0.8764 0.0000
Be 0.8764 0.6236 0.0000
Be 0.1236 0.3764 0.0000
Cu 0.5000 0.5000 0.0000
Cu 0.0000 0.0000 0.0000
```

Values from the calculation:
distance to the lowest polymorph of the same formula	0.00	eV/f.u.
energy relative to the elements	16	kJ/mol of atoms
M_tot	0.00	μB per cell
uncorrected energy	-59.93	eV/cell

---

No. 5
BeCrCu2: relaxed, GGA-PBE. Values from VASP.

Structure (Quantum ESPRESSO input):
```
&SYSTEM
  ibrav = 0, nat = 4, ntyp = 3
/
ATOMIC_SPECIES
Cu 63.55 Cu.upf
Cr 52.00 Cr.upf
Be 9.01 Be.upf
CELL_PARAMETERS angstrom
-0.0716 2.5688 -3.7483
0.5254 -4.4392 -0.8192
-2.3706 -0.2565 -0.1305
ATOMIC_POSITIONS crystal
Cu 0.0000 0.0000 0.0000
Cu 0.5000 0.5000 0.0000
Cr 0.0000 0.5000 0.5000
Be 0.5000 0.0000 0.5000
```

Values from the calculation:
energy relative to the elements	25	kJ/mol of atoms
M_tot	1.17	μB per cell
uncorrected energy	-20.49	eV/cell

---

No. 6
BeCrCu2: relaxed, GGA-PBE. Values from VASP.

Structure (Quantum ESPRESSO input):
```
&SYSTEM
  ibrav = 0, nat = 4, ntyp = 3
/
ATOMIC_SPECIES
Cr 52.00 Cr.upf
Be 9.01 Be.upf
Cu 63.55 Cu.upf
CELL_PARAMETERS angstrom
-8.1298 1.3804 -1.0255
-8.0672 -1.0168 -1.7138
-8.2697 -0.4167 0.6994
ATOMIC_POSITIONS crystal
Cr 0.2500 0.2500 0.2500
Be 0.7500 0.7500 0.7500
Cu 0.0063 0.0063 0.0063
Cu 0.4937 0.4937 0.4937
```

Values from the calculation:
energy relative to the elements	19	kJ/mol of atoms
M_tot	0.35	μB per cell
uncorrected energy	-20.76	eV/cell

---

No. 7
BeCrCu: relaxed, GGA-PBE. Values from VASP.

Structure (Quantum ESPRESSO input):
```
&SYSTEM
  ibrav = 0, nat = 3, ntyp = 3
/
ATOMIC_SPECIES
Cr 52.00 Cr.upf
Cu 63.55 Cu.upf
Be 9.01 Be.upf
CELL_PARAMETERS angstrom
-2.7575 1.7149 2.8917
-4.1869 0.4361 -1.0890
3.3801 -2.6605 0.6350
ATOMIC_POSITIONS crystal
Cr 0.6637 0.6637 0.0000
Cu 0.3385 0.3385 0.0000
Be 0.9978 0.9978 0.0000
```

Values from the calculation:
distance to the lowest polymorph of the same formula	0.79	eV/f.u.
energy relative to the elements	28	kJ/mol of atoms
M_tot	2.02	μB per cell
uncorrected energy	-16.57	eV/cell

---

No. 8
BeCr4Cu: relaxed, GGA-PBE. Values from VASP.

Structure (Quantum ESPRESSO input):
```
&SYSTEM
  ibrav = 0, nat = 6, ntyp = 3
/
ATOMIC_SPECIES
Cr 52.00 Cr.upf
Cu 63.55 Cu.upf
Be 9.01 Be.upf
CELL_PARAMETERS angstrom
0.0000 3.3045 3.3045
3.3045 0.0000 3.3045
3.3045 3.3045 0.0000
ATOMIC_POSITIONS crystal
Cr 0.3746 0.3746 0.8761
Cr 0.3746 0.3746 0.3746
Cr 0.8761 0.3746 0.3746
Cr 0.3746 0.8761 0.3746
Cu 0.7500 0.7500 0.7500
Be 0.0000 0.0000 0.0000
```

Values from the calculation:
energy relative to the elements	47	kJ/mol of atoms
M_tot	0.00	μB per cell
uncorrected energy	-43.39	eV/cell

---

- energy relative to the elements of number 8 (BeCr4Cu)?
  47 kJ/mol of atoms

---

- Which value of uncorrected energy does entry 8 give?
  -43.39 eV/cell

---

- The lowest uncorrected energy belongs to which entry?
  Be2Cr2Cu